Compound: Tl2VHO4
Source: the Alexandria database
Functional: PBE+U
Structure: optimized geometry

The structure in POSCAR format:
```
Tl2VHO4
1.0
-3.784 -0.787 1.772
0.934 -3.431 5.570
-1.267 7.976 5.937
Tl V H O
4 2 2 8
Direct
0.168 0.000 0.663
0.832 0.000 0.337
0.582 0.500 0.837
0.918 0.500 0.163
0.250 0.500 0.500
0.500 0.000 0.000
0.750 0.500 0.500
0.000 0.000 0.000
0.271 0.846 0.098
0.215 0.154 0.902
0.883 0.846 0.902
0.630 0.154 0.098
0.479 0.654 0.402
0.535 0.346 0.598
0.867 0.654 0.598
0.120 0.346 0.402
```

Properties
- energy (eV/atom) = -5.47